1.
## KNa2TlCl4 (PBE-GGA)

Data for a geometry-optimized KNa2TlCl4 structure.

## Properties
Total DFT energy (no corrections)   -3.31 eV per atom

```
KNa2TlCl4
1.0
-3.057 -2.362 -1.780
4.968 -5.557 -1.159
0.027 -4.459 5.871
Cl K Na Tl
4 1 2 1
Direct
0.000 0.784 0.735
0.000 0.216 0.265
0.500 0.780 0.243
0.500 0.220 0.757
0.000 0.500 0.500
0.500 0.000 0.500
0.000 0.000 0.000
0.500 0.500 0.000
```

2.
## K2NaTlCl6 (PBE-GGA)

Data for a geometry-optimized K2NaTlCl6 structure.

## Properties
Total DFT energy (no corrections)   -3.10 eV per atom

```
K2NaTlCl6
1.0
7.539 0.000 0.000
3.770 6.529 0.000
3.770 2.176 6.156
Cl K Na Tl
6 2 1 1
Direct
0.756 0.756 0.244
0.244 0.756 0.244
0.756 0.244 0.756
0.756 0.244 0.244
0.244 0.756 0.756
0.244 0.244 0.756
0.750 0.750 0.750
0.250 0.250 0.250
0.500 0.500 0.500
0.000 0.000 0.000
```

3.
## K2NaTlCl (PBE-GGA)

Data for a geometry-optimized K2NaTlCl structure.

## Properties
Total DFT energy (no corrections)   -2.19 eV per atom

```
K2NaTlCl
1.0
-1.036 -5.678 -1.895
2.410 1.365 -5.407
4.954 -1.513 1.826
Cl Tl K Na
1 1 2 1
Direct
0.000 0.000 0.000
0.500 0.500 0.500
0.500 0.000 0.000
0.000 0.500 0.000
0.000 0.000 0.500
```

4.
## K3NaTl3Cl8 (PBE-GGA)

Data for a geometry-optimized K3NaTl3Cl8 structure.

## Properties
Total DFT energy (no corrections)   -3.17 eV per atom

```
K3NaTl3Cl8
1.0
-6.438 5.973 2.269
-2.233 -7.984 -3.450
3.197 0.404 8.007
Cl Na Tl K
8 1 3 3
Direct
0.214 0.995 0.752
0.242 0.483 0.250
0.758 0.517 0.750
0.781 0.562 0.287
0.782 0.995 0.752
0.786 0.005 0.248
0.218 0.005 0.248
0.219 0.438 0.713
0.000 0.000 0.500
0.000 0.000 0.000
0.500 0.500 0.000
0.000 0.500 0.000
0.000 0.500 0.500
0.500 0.500 0.500
0.500 0.000 0.500
```

5.
## KNa2TlCl6 (PBE-GGA)

Data for a geometry-optimized KNa2TlCl6 structure.

## Properties
Total DFT energy (no corrections)   -3.11 eV per atom

```
KNa2TlCl6
1.0
7.164 0.001 0.000
3.583 6.204 -0.001
3.581 2.068 6.527
Cl K Na Tl
6 1 2 1
Direct
0.947 0.576 0.235
0.242 0.947 0.235
0.152 0.370 0.762
0.576 0.242 0.235
0.370 0.716 0.762
0.716 0.152 0.762
0.807 0.807 0.579
0.007 0.007 0.979
0.520 0.521 0.438
0.325 0.325 0.026
```

6.
## K2Na3TlCl6 (PBE-GGA)

Data for a geometry-optimized K2Na3TlCl6 structure.

## Properties
Total DFT energy (no corrections)   -3.34 eV per atom

```
K2Na3TlCl6
1.0
4.253 0.000 0.000
0.000 8.628 0.224
-2.126 -2.579 9.023
K Tl Na Cl
2 1 3 6
Direct
0.834 0.669 0.668
0.166 0.331 0.332
0.500 0.000 0.000
0.166 0.830 0.333
0.834 0.170 0.667
0.500 0.500 0.000
0.325 0.933 0.651
0.339 0.404 0.678
0.661 0.596 0.322
0.993 0.272 0.987
0.675 0.067 0.349
0.007 0.728 0.013
```

7.
## K3NaTl2Cl6 (PBE-GGA)

Data for a geometry-optimized K3NaTl2Cl6 structure.

## Properties
Total DFT energy (no corrections)   -3.31 eV per atom

```
K3NaTl2Cl6
1.0
-1.185 -4.199 6.436
-1.509 -3.077 -6.980
7.700 -0.048 -0.190
Tl K Na Cl
2 3 1 6
Direct
0.665 0.335 0.000
0.335 0.665 0.000
0.830 0.170 0.500
0.170 0.830 0.500
0.500 0.500 0.500
0.000 0.000 0.000
0.605 0.918 0.753
0.395 0.082 0.247
0.918 0.605 0.753
0.772 0.772 0.243
0.082 0.395 0.247
0.228 0.228 0.757
```

8.
## K3Na2TlCl6 (PBE-GGA)

Data for a geometry-optimized K3Na2TlCl6 structure.

## Properties
Total DFT energy (no corrections)   -3.34 eV per atom

```
K3Na2TlCl6
1.0
-1.683 3.973 -0.729
-4.471 -0.507 7.559
9.064 1.984 3.016
Cl K Na Tl
6 3 2 1
Direct
0.671 0.106 0.341
0.673 0.572 0.345
0.990 0.737 0.979
0.327 0.428 0.655
0.010 0.263 0.021
0.329 0.894 0.659
0.164 0.833 0.328
0.500 0.500 0.000
0.836 0.167 0.672
0.828 0.657 0.657
0.172 0.343 0.343
0.500 0.000 0.000
```

9.
## KNaTl2Cl8 (PBE-GGA)

Data for a geometry-optimized KNaTl2Cl8 structure.

## Properties
Total DFT energy (no corrections)   -2.91 eV per atom

```
KNaTl2Cl8
1.0
6.854 0.000 0.000
0.000 6.854 0.000
-3.427 -3.427 7.814
Cl Tl Na K
8 2 1 1
Direct
0.084 0.003 0.675
0.161 0.598 0.840
0.679 0.242 0.840
0.591 0.672 0.675
0.758 0.839 0.160
0.402 0.321 0.160
0.328 0.916 0.325
0.997 0.409 0.325
0.250 0.750 0.500
0.500 0.500 0.000
0.000 0.000 0.000
0.750 0.250 0.500
```

10.
## KNa2Tl3Cl6 (PBE-GGA)

Data for a geometry-optimized KNa2Tl3Cl6 structure.

## Properties
Total DFT energy (no corrections)   -3.24 eV per atom

```
KNa2Tl3Cl6
1.0
4.363 0.000 0.000
0.000 8.894 0.229
-2.181 -2.652 9.258
K Cl Tl Na
1 6 3 2
Direct
0.500 0.000 0.000
0.330 0.890 0.660
0.670 0.110 0.340
0.676 0.565 0.352
0.324 0.435 0.648
0.983 0.746 0.966
0.017 0.254 0.034
0.833 0.174 0.667
0.500 0.500 0.000
0.167 0.826 0.333
0.829 0.662 0.659
0.171 0.338 0.341
```

11.
## K2NaTl3Cl6 (PBE-GGA)

Data for a geometry-optimized K2NaTl3Cl6 structure.

## Properties
Total DFT energy (no corrections)   -3.26 eV per atom

```
K2NaTl3Cl6
1.0
-5.488 -3.440 4.214
4.827 -4.268 -4.265
4.866 2.143 5.710
Cl Tl K Na
6 3 2 1
Direct
0.614 0.924 0.774
0.076 0.386 0.226
0.764 0.764 0.239
0.386 0.076 0.226
0.924 0.614 0.774
0.236 0.236 0.761
0.168 0.832 0.500
0.500 0.500 0.500
0.832 0.168 0.500
0.334 0.666 0.000
0.666 0.334 0.000
0.000 0.000 0.000
```

12.
## KNa2TmCl6 (PBE-GGA)

Data for a geometry-optimized KNa2TmCl6 structure.

## Properties
Total DFT energy (no corrections)   -3.97 eV per atom

```
KNa2TmCl6
1.0
-2.462 -6.526 1.673
4.487 -5.593 0.151
1.898 -2.889 6.895
Tm Cl Na K
1 6 2 1
Direct
0.325 0.325 0.026
0.949 0.574 0.235
0.242 0.949 0.235
0.574 0.242 0.235
0.149 0.374 0.768
0.374 0.710 0.768
0.709 0.149 0.768
0.522 0.522 0.435
0.008 0.008 0.974
0.809 0.809 0.573
```

| no. | formation energy without anion corrections (kcal/mol of atoms) |
| --- | --- |
| 1 | -37.5 |
| 2 | -32.3 |
| 3 | -14.9 |
| 4 | -32.3 |
| 5 | -32.0 |
| 6 | -39.3 |
| 7 | -37.0 |
| 8 | -39.8 |
| 9 | -25.0 |
| 10 | -32.7 |
| 11 | -33.4 |
| 12 | -47.2 |